Below is crystalline VP2O7 at its relaxed geometry, with properties calculated at the PBE+U level.

```
10
Lattice="4.5495 0.0004 0.0005 -0.6496 5.1025 0.0042 -0.6496 -1.0404 4.9953" Properties=species:S:1:pos:R:3 pbc="T T T"
O 3.3602 0.3699 1.6006
O 1.6252 1.7335 2.7419
O -0.1098 2.5716 4.3103
O 2.0984 3.8483 4.0308
O 1.1520 0.9048 0.4081
O 2.8723 2.7213 0.7567
O 0.3780 3.8789 2.1815
P 0.9762 3.0858 3.3306
P 2.2741 1.4341 1.2978
V -0.6496 4.3903 0.5828
```

Properties
The calculation puts the total magnetization at 1.000 μB per cell. The value obtained for the energy relative to the lowest polymorph listed for this composition is 34 meV/atom. Its raw total energy is -7.398 eV/atom.